(1)
4
Lattice="0.000 3.480 3.480 3.480 0.000 3.480 3.480 3.480 0.000" Properties=species:S:1:pos:R:3 comment="PmPuGeH, relaxed, DFT PBE-GGA" magnetic_moment_mub_per_cell=5.94 energy_ev_per_cell=-28.081 pbc="T T T"
Pm 0.000 0.000 0.000
Pu 3.480 3.480 3.480
Ge 5.220 5.220 5.220
H 1.740 1.740 1.740


(2)
7
Lattice="5.393 -2.124 0.000 5.393 2.124 0.000 -4.539 0.000 5.502" Properties=species:S:1:pos:R:3 comment="Pm2Ge2HRh2, relaxed, DFT PBE-GGA" magnetic_moment_mub_per_cell=0.00 energy_ev_per_cell=-42.411 pbc="T T T"
Pm -0.730 0.000 1.590
Pm 6.978 0.000 3.911
Ge 2.302 0.000 1.652
Ge 3.945 0.000 3.850
H 5.393 0.000 0.000
Rh -0.886 0.000 4.985
Rh 7.133 0.000 0.517


(3)
10
Lattice="-3.072 3.072 4.332 3.072 -3.072 4.332 3.072 3.072 -4.332" Properties=species:S:1:pos:R:3 comment="Pm2GeHRh6, relaxed, DFT PBE-GGA" magnetic_moment_mub_per_cell=0.00 energy_ev_per_cell=-67.045 pbc="T T T"
Pm 3.072 0.000 2.166
Pm 0.000 3.072 2.166
Ge 0.000 0.000 0.000
H 0.000 0.000 4.332
Rh 0.000 0.000 2.369
Rh 1.677 1.677 0.000
Rh 1.396 -1.396 4.332
Rh -1.396 1.396 4.332
Rh 0.000 0.000 6.294
Rh 1.396 1.396 4.332